Compound: Sr2RuSe
Source: Alexandria via LeMat-Bulk
Functional: SCAN
Structure: PBEsol geometry

Structure (POSCAR):
```
Sr2RuSe
1.0
-0.301 -3.700 1.388
3.271 -2.120 0.715
1.169 0.911 8.340
Ru Se Sr
1 1 2
direct
0.500 0.500 0.500
0.000 0.000 0.000
0.254 0.254 0.238
0.746 0.746 0.762
```

Crystal system: trigonal
Space-group type: No. 166
E_form (uncorrected) in meV/atom: -394.1